The following is a PBE with a Hubbard U calculation of a relaxed SrVO4 crystal, from Alexandria via LeMat-Bulk.

Unit cell a=5.3065 b=5.4431 c=5.3108 alpha=90.00 beta=94.06 gamma=90.00
Last column: nearest neighbours and their distance in Å.
Fractional coordinates of all 12 atoms:
Sr: 0.0000 0.0000 0.0000  4 O 2.41-2.50
Sr: 0.0000 0.5000 0.5000  4 O 2.41-2.50
V: 0.5000 0.0000 0.5000  6 O 1.83-2.04
V: 0.5000 0.5000 0.0000  6 O 1.83-2.04
O: 0.1704 0.0963 0.4394  1 V 1.83
O: 0.1704 0.4037 0.9394  1 V 1.83
O: 0.4220 0.7132 0.2589  2 V 1.87-2.04
O: 0.4220 0.7868 0.7589  2 V 1.87-2.04
O: 0.5780 0.2132 0.2411  2 V 1.87-2.04
O: 0.5780 0.2868 0.7411  2 V 1.87-2.04
O: 0.8296 0.5963 0.0606  1 V 1.83
O: 0.8296 0.9037 0.5606  1 V 1.83

D(E_F) = 3.95 states/eV/cell
spin magnetization = 0.167 μB per atom
VASP energy = -6.73 eV/atom

***

The following is a PBE with a Hubbard U calculation of a relaxed SrVO2 crystal, from Alexandria via LeMat-Bulk.

Unit cell a=4.1845 b=4.1845 c=4.1845 alpha=60.00 beta=60.00 gamma=60.00
Last column: nearest neighbours and their distance in Å.
Fractional coordinates of all 4 atoms:
Sr: 0.0000 0.0000 0.0000  8 O 2.56
V: 0.5000 0.5000 0.5000  8 O 2.56
O: 0.2500 0.2500 0.2500  4 Sr 2.56, 4 V 2.56
O: 0.7500 0.7500 0.7500  4 Sr 2.56, 4 V 2.56

E above lowest polymorph = 635 meV/atom
D(E_F) = 1.73 states/eV/cell
spin magnetization = 0.750 μB per atom
VASP energy = -6.12 eV/atom

***

The following is a PBE with a Hubbard U calculation of a relaxed SrV4O9 crystal, from Alexandria via LeMat-Bulk.

Unit cell a=8.4720 b=8.4720 c=5.5397 alpha=90.00 beta=90.00 gamma=90.00
Last column: nearest neighbours and their distance in Å.
Fractional coordinates of all 28 atoms:
Sr: 0.2500 0.2500 0.1411  8 O 2.57-2.67
Sr: 0.7500 0.7500 0.8589  8 O 2.57-2.67
V: 0.0353 0.6596 0.3836  1 O 1.65
V: 0.1596 0.9647 0.6164  1 O 1.65
V: 0.3404 0.5353 0.6164  1 O 1.65
V: 0.4647 0.8404 0.3836  1 O 1.65
V: 0.5353 0.1596 0.6164  1 O 1.65
V: 0.6596 0.4647 0.3836  1 O 1.65
V: 0.8404 0.0353 0.3836  1 O 1.65
V: 0.9647 0.3404 0.6164  1 O 1.65
O: 0.0018 0.6773 0.0918  1 V 1.65
O: 0.0418 0.1426 0.4628  3 V 1.98-2.00
O: 0.1426 0.4582 0.4628  3 V 1.98-2.00
O: 0.1773 0.9982 0.9082  1 V 1.65
O: 0.2500 0.7500 0.5000  4 V 2.08
O: 0.3227 0.5018 0.9082  1 V 1.65
O: 0.3574 0.0418 0.4628  3 V 1.98-2.00
O: 0.4582 0.3574 0.4628  3 V 1.98-2.00
O: 0.4982 0.8227 0.0918  1 V 1.65
O: 0.5018 0.1773 0.9082  1 V 1.65
O: 0.5418 0.6426 0.5372  3 V 1.98-2.00
O: 0.6426 0.9582 0.5372  3 V 1.98-2.00
O: 0.6773 0.4982 0.0918  1 V 1.65
O: 0.7500 0.2500 0.5000  4 V 2.08
O: 0.8227 0.0018 0.0918  1 V 1.65
O: 0.8574 0.5418 0.5372  3 V 1.98-2.00
O: 0.9582 0.8574 0.5372  3 V 1.98-2.00
O: 0.9982 0.3227 0.9082  1 V 1.65

D(E_F) = 0.00 states/eV/cell
spin magnetization = 0.286 μB per atom
VASP energy = -7.62 eV/atom

***

The following is a PBE with a Hubbard U calculation of a relaxed Sr3VO crystal, from Alexandria via LeMat-Bulk.

Unit cell a=5.2766 b=5.2766 c=5.2766 alpha=90.00 beta=90.00 gamma=90.00
Last column: nearest neighbours and their distance in Å.
Fractional coordinates of all 5 atoms:
Sr: 0.0000 0.0000 0.5000  2 O 2.64
Sr: 0.0000 0.5000 0.0000  2 O 2.64
Sr: 0.5000 0.0000 0.0000  2 O 2.64
V: 0.5000 0.5000 0.5000  12 Sr 3.73
O: 0.0000 0.0000 0.0000  6 Sr 2.64

E above lowest polymorph = 0 meV/atom
D(E_F) = 3.97 states/eV/cell
spin magnetization = 0.856 μB per atom
VASP energy = -4.10 eV/atom

***

Number 3 is which compound? SrV4O9

***

What is the formula in the second record? SrVO2